LiSiTc | PBE | optimized geometry

Structure (CIF):
```
data_LiSiTc
_cell_length_a 4.0245
_cell_length_b 4.0245
_cell_length_c 4.0245
_cell_angle_alpha 60.00
_cell_angle_beta 60.00
_cell_angle_gamma 60.00
_symmetry_space_group_name_H-M 'P 1'
_symmetry_Int_Tables_number 1
_symmetry_space_group_name_Hall 'P 1'
loop_
_atom_site_label
_atom_site_fract_x
_atom_site_fract_y
_atom_site_fract_z
_atom_site_occupancy
Li1 0.0000 0.0000 0.0000 1
Si1 0.5000 0.5000 0.5000 1
Tc1 0.2500 0.2500 0.2500 1
```

Computed properties:
Magnetization, μB/f.u.: 0.0
ρ, g/cm3: 4.79
Fermi-level density of states, states/eV/atom: 0.6280
Electronic total energy, eV per atom: -5.597
E_form (uncorrected), kJ per mole of atoms: 29.3